[1]
# PrInPd

A relaxed structure of PrInPd (GGA-PBE, OQMD).

Total DFT energy (no corrections) (eV/atom): -4.52
Spin magnetization (μB/cell): 0.0
Volume (A^3/atom): 23.46

```
data_PrInPd
_chemical_formula_sum 'Pr3 In3 Pd3'
_cell_length_a 8.4731
_cell_length_b 8.4731
_cell_length_c 3.3953
_cell_angle_alpha 90.00
_cell_angle_beta 90.00
_cell_angle_gamma 120.00
_space_group_name_H-M_alt 'P 1'
_space_group_IT_number 1
loop_
_space_group_symop_operation_xyz
'x,y,z'
loop_
_atom_site_label
_atom_site_fract_x
_atom_site_fract_y
_atom_site_fract_z
In1 0.6667 0.3333 0.0000
In2 0.3333 0.6667 0.0000
In3 0.0000 0.0000 0.5000
Pd1 0.6338 0.0000 0.5000
Pd2 0.3662 0.3662 0.5000
Pd3 0.0000 0.6338 0.5000
Pr1 0.2993 0.0000 0.0000
Pr2 0.0000 0.2993 0.0000
Pr3 0.7007 0.7007 0.0000
```



[2]
# NaTaAgAu

A relaxed structure of NaTaAgAu (GGA-PBE, OQMD).

Energy relative to the lowest polymorph listed for this composition (meV/atom): 0.0
Spin magnetization (μB/cell): 0.0
Volume (A^3/atom): 18.32

```
data_NaTaAgAu
_chemical_formula_sum 'Na1 Ta1 Ag1 Au1'
_cell_length_a 4.6973
_cell_length_b 4.6973
_cell_length_c 4.6973
_cell_angle_alpha 60.00
_cell_angle_beta 60.00
_cell_angle_gamma 60.00
_space_group_name_H-M_alt 'P 1'
_space_group_IT_number 1
loop_
_space_group_symop_operation_xyz
'x,y,z'
loop_
_atom_site_label
_atom_site_fract_x
_atom_site_fract_y
_atom_site_fract_z
Ag1 0.2500 0.2500 0.2500
Au1 0.7500 0.7500 0.7500
Na1 0.5000 0.5000 0.5000
Ta1 0.0000 0.0000 0.0000
```



[3]
# LiScPt2

A relaxed structure of LiScPt2 (GGA-PBE, OQMD).

Energy relative to the lowest polymorph listed for this composition (meV/atom): 106.1
Spin magnetization (μB/cell): 0.0
Volume (A^3/atom): 16.83

```
data_LiScPt2
_chemical_formula_sum 'Li2 Sc2 Pt4'
_cell_length_a 4.2654
_cell_length_b 4.2654
_cell_length_c 8.5451
_cell_angle_alpha 90.00
_cell_angle_beta 90.00
_cell_angle_gamma 120.00
_space_group_name_H-M_alt 'P 1'
_space_group_IT_number 1
loop_
_space_group_symop_operation_xyz
'x,y,z'
loop_
_atom_site_label
_atom_site_fract_x
_atom_site_fract_y
_atom_site_fract_z
Li1 0.0000 0.0000 0.0000
Li2 0.0000 0.0000 0.5000
Pt1 0.6667 0.3333 0.0908
Pt2 0.6667 0.3333 0.4092
Pt3 0.3333 0.6667 0.5908
Pt4 0.3333 0.6667 0.9092
Sc1 0.3333 0.6667 0.2500
Sc2 0.6667 0.3333 0.7500
```



Q: Which formula does entry 1 have?
A: PrInPd